Record 1
# TmHfFeRu

TmHfFeRu after structural relaxation (PBE-GGA, the Alexandria database).

a b c (Å): 6.501 6.501 6.501
angles (deg): 90.00 90.00 90.00
Space group F-43m (No. 216)
Inequivalent atoms, fractional coordinates:
Tm 0.000 0.000 0.000 (multiplicity 4)
Hf 0.000 0.000 0.500 (multiplicity 4)
Fe 0.250 0.250 0.750 (multiplicity 4)
Ru 0.250 0.250 0.250 (multiplicity 4)

Summary:
Magnetization, μB per formula unit: 0.213
Formation energy from the elements, eV per atom: -0.33

=====

Record 2
# InTeSe2

InTeSe2 after structural relaxation (PBE-GGA, the Alexandria database).

a b c (Å): 7.280 7.280 7.280
angles (deg): 90.00 90.00 90.00
Space group Fm-3m (No. 225)
Inequivalent atoms, fractional coordinates:
In 0.000 0.000 0.000 (multiplicity 4)
Te 0.000 0.000 0.500 (multiplicity 4)
Se 0.250 0.250 0.250 (multiplicity 8)

Summary:
Polymorph energy (0 for the lowest one), meV/atom: 353
Magnetization, μB per formula unit: 0.000
Formation energy from raw total energies, meV per atom: 135

=====

Record 3
# KZr2Ir

KZr2Ir after structural relaxation (PBE-GGA, the Alexandria database).

a b c (Å): 6.334 9.891 2.979
angles (deg): 90.00 113.71 90.00
Space group C2/m (No. 12)
Inequivalent atoms, fractional coordinates:
K 0.000 0.000 0.000 (multiplicity 2)
Zr 0.250 0.250 0.500 (multiplicity 4)
Ir 0.000 0.500 0.000 (multiplicity 2)

Summary:
Polymorph energy (0 for the lowest one), meV/atom: 638
Magnetization, μB per formula unit: 0.000
Formation energy from the elements, eV per atom: 0.63